No. 1
# Na3Cd7In2 PBE optimized geometry
data_Na3Cd7In2
_chemical_formula_sum 'Na9 Cd21 In6'
_symmetry_space_group_name_H-M 'R -3 m'
_symmetry_Int_Tables_number 166
_symmetry_space_group_name_Hall '-R 3 2"'
_cell_length_a 6.0293
_cell_length_b 6.0293
_cell_length_c 29.8084
_cell_angle_alpha 90.00
_cell_angle_beta 90.00
_cell_angle_gamma 120.00
loop_
_atom_site_label
_atom_site_type_symbol
_atom_site_fract_x
_atom_site_fract_y
_atom_site_fract_z
Na1 Na 0.0000 0.0000 0.0000
Na2 Na 0.0000 0.0000 0.1441
Cd1 Cd 0.0000 0.0000 0.5000
Cd2 Cd 0.0068 0.5034 0.9130
In1 In 0.0000 0.0000 0.3349
# DOS(E_F) in states/eV/f.u.: 3.7
# Formation energy in meV/atom: -73
# Calculated density in g/cm3: 5.762

---

No. 2
# RuSe PBE optimized geometry
data_RuSe
_chemical_formula_sum 'Ru4 Se4'
_symmetry_space_group_name_H-M 'C m m e'
_symmetry_Int_Tables_number 67
_symmetry_space_group_name_Hall '-C 2a 2'
_cell_length_a 2.894
_cell_length_b 5.015
_cell_length_c 10.126
_cell_angle_alpha 90.00
_cell_angle_beta 90.00
_cell_angle_gamma 90.00
loop_
_atom_site_label
_atom_site_type_symbol
_atom_site_fract_x
_atom_site_fract_y
_atom_site_fract_z
Ru1 Ru 0.000 0.250 0.113
Se1 Se 0.000 0.250 0.688
# DOS(E_F) in states/eV/f.u.: 2.9
# Calculated density in g/cm3: 8.135
# Raw formation energy in kcal/mol of atoms: 10.50

---

No. 3
# BaNiBr2 PBE optimized geometry
data_BaNiBr2
_chemical_formula_sum 'Ba1 Ni1 Br2'
_symmetry_space_group_name_H-M 'P 4 m m'
_symmetry_Int_Tables_number 99
_symmetry_space_group_name_Hall 'P 4 -2'
_cell_length_a 4.557
_cell_length_b 4.557
_cell_length_c 6.388
_cell_angle_alpha 90.00
_cell_angle_beta 90.00
_cell_angle_gamma 90.00
loop_
_atom_site_label
_atom_site_type_symbol
_atom_site_fract_x
_atom_site_fract_y
_atom_site_fract_z
Ba1 Ba 0.000 0.000 0.000
Ni1 Ni 0.500 0.500 0.774
Br1 Br 0.000 0.000 0.517
Br2 Br 0.500 0.500 0.120
# DOS(E_F) in states/eV/f.u.: 2.0
# Offset from the most stable computed form in kcal/mol of atoms: 6.83
# Calculated density in g/cm3: 4.454
# Raw formation energy in kcal/mol of atoms: -17.16

---

No. 4
# TaPdS2 PBE optimized geometry
data_TaPdS2
_chemical_formula_sum 'Ta3 Pd3 S6'
_symmetry_space_group_name_H-M 'R -3 m'
_symmetry_Int_Tables_number 166
_symmetry_space_group_name_Hall '-R 3 2"'
_cell_length_a 3.2611
_cell_length_b 3.2611
_cell_length_c 23.5128
_cell_angle_alpha 90.00
_cell_angle_beta 90.00
_cell_angle_gamma 120.00
loop_
_atom_site_label
_atom_site_type_symbol
_atom_site_fract_x
_atom_site_fract_y
_atom_site_fract_z
Ta1 Ta 0.0000 0.0000 0.0000
Pd1 Pd 0.0000 0.0000 0.5000
S1 S 0.0000 0.0000 0.4015
# DOS(E_F) in states/eV/f.u.: 2.0
# Offset from the most stable computed form in kcal/mol of atoms: 0.00
# Calculated density in g/cm3: 8.086
# Raw formation energy in kcal/mol of atoms: -16.15

---

No. 5
# RuW2Au PBE optimized geometry
data_RuW2Au
_chemical_formula_sum 'Ru3 W6 Au3'
_symmetry_space_group_name_H-M 'R -3 m'
_symmetry_Int_Tables_number 166
_symmetry_space_group_name_Hall '-R 3 2"'
_cell_length_a 2.8093
_cell_length_b 2.8093
_cell_length_c 28.0616
_cell_angle_alpha 90.00
_cell_angle_beta 90.00
_cell_angle_gamma 120.00
loop_
_atom_site_label
_atom_site_type_symbol
_atom_site_fract_x
_atom_site_fract_y
_atom_site_fract_z
Ru1 Ru 0.0000 0.0000 0.0000
W1 W 0.0000 0.0000 0.2539
Au1 Au 0.0000 0.0000 0.5000
# DOS(E_F) in states/eV/f.u.: 5.1
# Formation energy in meV/atom: 279
# Offset from the most stable computed form in kcal/mol of atoms: 2.23
# Calculated density in g/cm3: 17.290

---

No. 6
# KLa2ZnGe PBE optimized geometry
data_KLa2ZnGe
_chemical_formula_sum 'K1 La2 Zn1 Ge1'
_symmetry_space_group_name_H-M 'P 4/m m m'
_symmetry_Int_Tables_number 123
_symmetry_space_group_name_Hall '-P 4 2'
_cell_length_a 6.311
_cell_length_b 6.311
_cell_length_c 5.991
_cell_angle_alpha 90.00
_cell_angle_beta 90.00
_cell_angle_gamma 90.00
loop_
_atom_site_label
_atom_site_type_symbol
_atom_site_fract_x
_atom_site_fract_y
_atom_site_fract_z
K1 K 0.000 0.000 0.000
La1 La 0.000 0.500 0.500
Zn1 Zn 0.000 0.000 0.500
Ge1 Ge 0.500 0.500 0.000
# DOS(E_F) in states/eV/f.u.: 9.7
# Formation energy in meV/atom: 547
# Calculated density in g/cm3: 3.166